TiNiSe2 | PBE | optimized geometry

Geometry as POSCAR:
```
TiNiSe2
1.0
5.541 0.000 0.000
0.000 5.541 0.000
0.000 0.000 11.168
Ti Ni Se
4 4 8
Cartesian
0.000 0.000 0.000 Ti
0.000 2.770 2.792 Ti
2.770 0.000 8.376 Ti
2.770 2.770 5.584 Ti
0.000 0.000 5.584 Ni
0.000 2.770 8.376 Ni
2.770 0.000 2.792 Ni
2.770 2.770 0.000 Ni
1.284 1.385 6.980 Se
1.385 4.055 9.772 Se
1.385 4.257 4.188 Se
1.486 1.385 1.396 Se
4.055 4.156 1.396 Se
4.156 1.284 4.188 Se
4.156 1.486 9.772 Se
4.257 4.156 6.980 Se
```

Results
Formation energy without anion corrections ... -0.57 eV per atom
E_tot ... -91.717 eV per cell
Space group ... No. 122
Density ... 5.124 g cm⁻³
Total magnetization ... 0.00 μB/f.u.